1.
# LiTi2P3O12

An optimized crystal structure of LiTi2P3O12 (PBE, the Alexandria database).

The structure in extended XYZ format:
```
72
Lattice="8.7088 0.0000 0.0000 0.0000 8.6566 0.0000 0.0000 0.0000 12.0769" Properties=species:S:1:pos:R:3 pbc="T T T"
Li 1.9474 0.2683 0.0000
Li 2.4070 4.5966 6.0385
Li 6.3018 4.0600 0.0000
Li 6.7614 8.3883 6.0385
Ti 0.2126 8.6369 2.4532
Ti 0.3966 4.3798 11.2886
Ti 3.9578 0.0514 5.2501
Ti 4.1418 4.3086 8.4917
Ti 4.5671 4.3481 2.4532
Ti 4.7510 8.6052 11.2886
Ti 8.3123 4.2769 5.2501
Ti 8.4962 0.0197 8.4917
P 0.9269 7.3853 5.5801
P 0.9450 3.1195 8.1113
P 2.1474 2.4798 3.8157
P 2.2070 6.8081 9.8542
P 3.4094 7.4478 2.0729
P 3.4276 3.0570 11.6185
P 5.2813 5.5997 5.5801
P 5.2995 1.2088 8.1113
P 6.5019 1.8485 3.8157
P 6.5614 6.1769 9.8542
P 7.7638 5.5371 2.0729
P 7.7820 1.2714 11.6185
O 0.0141 4.9247 1.0265
O 0.0823 0.6403 0.5349
O 0.5046 7.8792 4.1786
O 0.5783 3.6200 9.5177
O 0.8106 1.5818 8.0363
O 0.8832 5.8502 5.6709
O 1.2591 1.5877 2.9589
O 1.2807 5.9665 10.7743
O 1.3411 7.6987 8.9317
O 1.3726 3.4288 4.7531
O 1.9589 7.8689 1.7158
O 1.9767 3.4926 11.9145
O 2.3778 7.8210 5.8760
O 2.3955 3.5406 7.7543
O 2.9818 7.7571 10.7916
O 3.0133 3.3704 2.8933
O 3.0737 1.6382 4.7358
O 3.0954 5.9161 8.9974
O 3.4713 1.5218 11.7093
O 3.5438 5.9102 1.9978
O 3.7761 7.9483 3.4793
O 3.8499 3.5509 10.2171
O 4.2722 4.9687 6.5733
O 4.3403 0.5964 7.0649
O 4.3686 8.0603 1.0265
O 4.4367 3.6880 0.5349
O 4.8590 5.1057 4.1786
O 4.9327 0.7083 9.5177
O 5.1650 2.7465 8.0363
O 5.2376 7.1348 5.6709
O 5.6135 2.7406 2.9589
O 5.6351 7.0184 10.7743
O 5.6955 5.2863 8.9317
O 5.7270 0.8995 4.7531
O 6.3134 5.1161 1.7158
O 6.3311 0.8357 11.9145
O 6.7322 5.1640 5.8760
O 6.7499 0.7877 7.7543
O 7.3363 5.2278 10.7916
O 7.3677 0.9579 2.8933
O 7.4281 2.6901 4.7358
O 7.4498 7.0689 8.9974
O 7.8257 2.8065 11.7093
O 7.8983 7.0748 1.9978
O 8.1305 5.0366 3.4793
O 8.2043 0.7774 10.2171
O 8.6266 8.0163 6.5733
O 8.6947 3.7320 7.0649
```

## Properties
offset from the most stable computed form = 0.000 eV/atom
ρ = 2828 kg/m³
space-group type = Pna2_1 (33)
E_form (uncorrected) = -246.2 kJ per mole of atoms
total magnetic moment = 0.00 μB/f.u.
Fermi-level density of states = 0.0 states/eV/cell

2.
# Li2TiP5O15

An optimized crystal structure of Li2TiP5O15 (PBE, the Alexandria database).

The structure in extended XYZ format:
```
46
Lattice="5.3524 0.0000 0.0000 0.0000 11.3016 0.0000 -4.8100 0.0000 12.1218" Properties=species:S:1:pos:R:3 pbc="T T T"
Li 0.0000 0.3295 0.0000
Li -2.4050 10.9720 6.0609
Li -0.9815 0.3442 3.7848
Li -3.3865 10.9574 9.8457
Ti -4.0918 5.6429 11.0040
Ti -1.6868 5.6587 4.9431
P -2.8877 5.3589 7.9730
P -0.4827 5.9426 1.9121
P -1.4405 3.8580 10.0737
P 0.9645 7.4436 4.0128
P -0.7689 1.0514 9.3005
P 1.6361 10.2502 3.2396
P 0.3301 1.0575 6.6097
P 2.7351 10.2440 0.5488
P 1.0169 3.8673 5.8663
P -1.3881 7.4343 11.9272
O -1.1516 5.1726 3.0141
O -3.5566 6.1290 9.0750
O 0.1768 5.1620 0.8120
O -2.2281 6.1395 6.8729
O -0.8338 0.7531 5.7074
O -3.2388 10.5484 11.7683
O -1.7779 4.3572 8.5763
O 0.6271 6.9444 2.5154
O -0.4292 4.2024 5.6025
O -2.8341 7.0992 11.6634
O 0.6592 0.0235 2.8998
O -1.7457 11.2781 8.9607
O -2.4853 4.3417 11.0404
O -0.0804 6.9598 4.9795
O -1.6167 2.2786 9.9511
O 0.7883 9.0229 3.8902
O -0.2187 1.7675 7.9569
O 2.1862 9.5341 1.8960
O 1.1842 2.2855 5.9680
O -1.2208 9.0160 12.0289
O 2.0594 4.3579 4.9004
O -0.3456 6.9437 10.9613
O 3.7068 0.0239 0.8819
O 1.3019 11.2777 6.9428
O 0.0059 4.1822 10.3491
O 2.4109 7.1193 4.2882
O 1.3674 4.3438 7.3680
O 3.7723 6.9577 1.3071
O 0.3947 0.7359 10.1993
O 2.7996 10.5656 4.1384
```

## Properties
offset from the most stable computed form = 0.000 eV/atom
ρ = 2068 kg/m³
space-group type = Pc (7)
E_form (uncorrected) = -218.5 kJ per mole of atoms
total magnetic moment = 1.00 μB/f.u.
Fermi-level density of states = 9.1 states/eV/cell

3.
# Li3TiP2O8

An optimized crystal structure of Li3TiP2O8 (PBE, the Alexandria database).

The structure in extended XYZ format:
```
14
Lattice="4.1660 -2.7513 0.0000 4.1660 2.7513 0.0000 -0.0497 0.0000 6.2166" Properties=species:S:1:pos:R:3 pbc="T T T"
Li 0.0000 0.0000 0.0000
Li 2.7251 0.0000 4.8121
Li 5.5571 0.0000 1.4046
Ti -0.0248 0.0000 3.1083
P 2.8953 0.0000 1.6421
P 5.3869 0.0000 4.5746
O 3.8619 1.2496 1.6780
O 2.0071 0.0000 2.9227
O 2.0412 0.0000 0.3919
O 4.4203 1.2496 4.5386
O 3.8619 -1.2496 1.6780
O 6.2410 0.0000 5.8248
O 6.2751 0.0000 3.2939
O 4.4203 -1.2496 4.5386
```

## Properties
offset from the most stable computed form = 0.000 eV/atom
ρ = 3014 kg/m³
space-group type = C2/m (12)
E_form (uncorrected) = -232.7 kJ per mole of atoms
total magnetic moment = 1.00 μB/f.u.
Fermi-level density of states = 2.0 states/eV/cell

4.
# LiTi2P3O12

An optimized crystal structure of LiTi2P3O12 (PBE, the Alexandria database).

The structure in extended XYZ format:
```
36
Lattice="8.4507 0.0000 0.0000 -4.2139 7.3428 0.0000 -0.0235 -4.8581 7.5157" Properties=species:S:1:pos:R:3 pbc="T T T"
Li 0.0000 0.0000 0.0000
Li 0.8708 0.1211 7.4531
Ti -1.0928 -2.1208 6.9209
Ti -1.0223 2.7822 5.9644
Ti 3.2223 0.2929 3.2636
Ti 3.2162 5.1320 2.2451
P -2.2059 5.5789 0.8326
P 0.1786 -0.0838 4.6210
P 2.0235 2.3509 0.8055
P 5.0292 -2.1500 4.5583
P 5.5951 0.2654 0.8495
P 4.4130 3.0593 4.6179
O -0.4264 -0.7852 3.3924
O -2.5179 3.2051 4.8540
O -2.3423 1.7501 7.1903
O -1.2942 4.3769 0.4424
O 0.2344 -1.0245 5.8650
O -0.6611 1.1613 4.9783
O 0.5042 2.1186 0.5223
O 2.5955 -1.1292 2.0936
O 1.6228 0.3345 4.3288
O 2.8480 -3.0503 7.1470
O 2.3985 1.6415 2.1092
O 0.2158 3.8287 4.9737
O 0.4387 2.1323 7.2708
O 2.2686 3.8829 0.9266
O 3.9412 -1.0922 4.4223
O 1.5585 5.0146 3.2202
O 4.8733 0.4259 2.1782
O 4.0324 1.5915 4.4449
O 2.5743 6.6066 0.9650
O 6.0314 -1.6903 5.6564
O 6.1952 1.6287 0.4080
O 4.0403 3.8484 3.3478
O 7.8637 -3.7671 5.8631
O 4.7933 5.1232 1.0976
```

## Properties
offset from the most stable computed form = 0.011 eV/atom
ρ = 2760 kg/m³
space-group type = P1 (1)
E_form (uncorrected) = -245.2 kJ per mole of atoms
total magnetic moment = 0.00 μB/f.u.
Fermi-level density of states = 0.0 states/eV/cell

5.
# LiTiP2O7

An optimized crystal structure of LiTiP2O7 (PBE, the Alexandria database).

The structure in extended XYZ format:
```
22
Lattice="4.9722 0.0000 0.0000 0.0000 8.3283 0.0000 -2.1607 0.0000 6.7149" Properties=species:S:1:pos:R:3 pbc="T T T"
Li 0.4881 0.0000 1.0844
Li 2.3234 4.1641 5.6306
Ti 0.5310 2.9593 1.5269
Ti 2.2805 7.1234 5.1880
P -0.1235 0.5454 3.9172
P 1.9421 5.6326 0.2008
P 0.8695 1.4684 6.5142
P 2.9351 4.7095 2.7978
O -0.6335 4.3057 2.3437
O -0.1415 1.2702 2.5712
O -1.1795 6.7969 6.6627
O 1.2237 4.2790 0.0781
O 1.7528 1.5153 0.6513
O 0.4186 1.6568 4.9724
O 0.8207 7.6730 3.8921
O 1.9909 3.5089 2.8228
O 2.3930 5.8209 1.7425
O 1.0588 5.6795 6.0637
O 1.5878 0.1148 6.6368
O 3.9910 2.6328 0.0522
O 2.9531 5.4344 4.1437
O 3.4451 0.1416 4.3712
```

## Properties
offset from the most stable computed form = 0.000 eV/atom
ρ = 2732 kg/m³
space-group type = P2_1 (4)
E_form (uncorrected) = -233.2 kJ per mole of atoms
total magnetic moment = 1.00 μB/f.u.
Fermi-level density of states = 5.7 states/eV/cell

6.
# LiTi2P3O12

An optimized crystal structure of LiTi2P3O12 (PBE, the Alexandria database).

The structure in extended XYZ format:
```
72
Lattice="8.6568 0.0000 0.0000 0.0000 12.1019 0.0000 0.0000 0.0000 8.7018" Properties=species:S:1:pos:R:3 pbc="T T T"
Li 0.2729 0.8606 0.0000
Li 4.0555 0.8606 4.3509
Li 4.6014 11.2414 0.0000
Li 8.3839 11.2414 4.3509
Ti 0.0121 4.4928 6.5342
Ti 0.0475 10.4028 7.1384
Ti 4.2810 10.4028 2.7875
Ti 4.3163 4.4928 2.1833
Ti 4.3405 7.6091 6.5342
Ti 4.3759 1.6991 7.1384
Ti 8.6094 1.6991 2.7875
Ti 8.6447 7.6091 2.1833
P 1.2329 4.7936 3.4201
P 1.2572 1.2676 5.8753
P 1.8485 9.0286 4.6363
P 2.4799 9.0286 0.2854
P 3.0712 1.2676 1.5244
P 3.0956 4.7936 7.7710
P 5.5613 7.3083 3.4201
P 5.5856 10.8343 5.8753
P 6.1769 3.0733 4.6363
P 6.8083 3.0733 0.2854
P 7.3996 10.8343 1.5244
P 7.4240 7.3083 7.7710
O 0.5729 5.7954 2.4624
O 0.6753 0.2321 6.8853
O 0.7270 3.3635 3.0281
O 0.7546 2.6442 6.2877
O 0.7798 0.8816 4.4358
O 0.8535 5.0454 4.8834
O 0.9213 10.0090 5.4248
O 0.9388 8.1551 3.7774
O 1.5214 1.1745 1.5414
O 1.5750 4.8437 7.6125
O 1.6069 8.1795 1.1926
O 1.6145 9.9587 8.0832
O 2.7139 9.9587 3.7323
O 2.7215 8.1795 5.5435
O 2.7534 4.8437 3.2616
O 2.8070 1.1745 5.8923
O 3.3896 8.1551 8.1283
O 3.4071 10.0090 1.0739
O 3.4749 5.0454 0.5325
O 3.5486 0.8816 0.0849
O 3.5738 2.6442 1.9368
O 3.6014 3.3635 7.3790
O 3.6531 0.2321 2.5343
O 3.7555 5.7954 6.8133
O 4.9013 6.3065 2.4624
O 5.0037 11.8698 6.8853
O 5.0554 8.7384 3.0281
O 5.0831 9.4577 6.2877
O 5.1083 11.2204 4.4358
O 5.1819 7.0565 4.8834
O 5.2498 2.0929 5.4248
O 5.2672 3.9468 3.7774
O 5.8498 10.9274 1.5414
O 5.9034 7.2582 7.6125
O 5.9353 3.9224 1.1926
O 5.9430 2.1432 8.0832
O 7.0423 2.1432 3.7323
O 7.0499 3.9224 5.5435
O 7.0818 7.2582 3.2616
O 7.1354 10.9274 5.8923
O 7.7180 3.9468 8.1283
O 7.7355 2.0929 1.0739
O 7.8033 7.0565 0.5325
O 7.8770 11.2204 0.0849
O 7.9022 9.4577 1.9368
O 7.9298 8.7384 7.3790
O 7.9815 11.8698 2.5343
O 8.0839 6.3065 6.8133
```

## Properties
offset from the most stable computed form = 0.005 eV/atom
ρ = 2824 kg/m³
space-group type = Pca2_1 (29)
E_form (uncorrected) = -245.8 kJ per mole of atoms
total magnetic moment = 0.00 μB/f.u.
Fermi-level density of states = 0.0 states/eV/cell

7.
# LiTi2P3O12

An optimized crystal structure of LiTi2P3O12 (PBE, the Alexandria database).

The structure in extended XYZ format:
```
72
Lattice="8.7151 0.0000 0.0000 0.0000 12.0907 0.0000 0.0000 0.0000 8.6459" Properties=species:S:1:pos:R:3 pbc="T T T"
Li 0.2344 2.1873 3.9964
Li 4.1231 8.2326 4.6495
Li 4.5920 3.8581 4.6495
Li 8.4807 9.9034 3.9964
Ti 1.8423 4.7016 4.3019
Ti 1.8977 1.4469 8.6379
Ti 2.4599 7.4922 0.0080
Ti 2.5153 10.7470 4.3440
Ti 6.1999 1.3437 4.3440
Ti 6.2552 4.5985 0.0080
Ti 6.8175 10.6438 8.6379
Ti 6.8728 7.3890 4.3019
P 0.0000 0.0000 6.1917
P 0.0000 6.0453 1.8221
P 1.2322 10.3576 1.2318
P 1.2369 7.8280 5.5800
P 3.1206 1.7826 3.0659
P 3.1254 4.3122 7.4141
P 4.3576 0.0000 6.8238
P 4.3576 6.0453 2.4542
P 5.5898 7.7784 7.4141
P 5.5945 10.3080 3.0659
P 7.4782 4.2627 5.5800
P 7.4829 1.7331 1.2318
O 0.1877 3.8837 5.0946
O 0.2484 1.9973 0.8728
O 0.8089 11.1621 5.2170
O 0.8639 6.9536 0.9630
O 0.8847 5.1482 2.7381
O 0.9059 0.9036 7.0135
O 1.3254 7.8968 7.0932
O 1.3249 10.2721 2.7932
O 1.5743 6.3975 5.0668
O 1.6763 11.7364 0.7410
O 2.0896 2.7447 3.7171
O 2.1634 9.2859 0.6342
O 2.1942 3.2406 8.0116
O 2.2680 8.7901 4.9288
O 2.6812 5.6911 7.9049
O 2.7833 0.3522 3.5790
O 3.0322 1.8514 1.5526
O 3.0326 4.2267 5.8527
O 3.4517 6.9490 1.6324
O 3.4729 11.1936 5.9078
O 3.4937 0.9082 7.6829
O 3.5487 5.1167 3.4289
O 4.1092 8.0427 7.7731
O 4.1698 9.9291 3.5513
O 4.5453 2.1616 3.5513
O 4.6060 4.0480 7.7731
O 5.1664 6.9739 3.4289
O 5.2215 11.1824 7.6829
O 5.2423 0.8971 5.9078
O 5.2635 5.1417 1.6324
O 5.6825 7.8639 5.8527
O 5.6829 10.2392 1.5526
O 5.9319 11.7385 3.5790
O 6.0339 6.3996 7.9049
O 6.4472 3.3006 4.9288
O 6.5209 8.8501 8.0116
O 6.5518 2.8048 0.6342
O 6.6256 9.3459 3.7171
O 7.0388 0.3543 0.7410
O 7.1408 5.6932 5.0668
O 7.3902 1.8186 2.7932
O 7.3898 4.1939 7.0932
O 7.8093 11.1870 7.0135
O 7.8305 6.9424 2.7381
O 7.8512 5.1371 0.9630
O 7.9063 0.9286 5.2170
O 8.4667 10.0933 0.8728
O 8.5274 8.2069 5.0946
```

## Properties
offset from the most stable computed form = 0.007 eV/atom
ρ = 2826 kg/m³
space-group type = P2_12_12 (18)
E_form (uncorrected) = -245.5 kJ per mole of atoms
total magnetic moment = 0.00 μB/f.u.
Fermi-level density of states = 0.0 states/eV/cell